Here is a relaxed structure of KP4W8O32 from Alexandria via LeMat-Bulk. Energies are from GGA+U.

Computed properties:
Raw total energy (eV per atom): -7.4158
Space-group type: No. 8
Density (kg/m3): 5333
Crystal system: monoclinic

a b c (Å): 8.7647 8.7647 10.3203
angles (deg): 66.91 66.91 76.66
Site moments in Bohr magnetons follow the coordinates.
Sites, in units of the cell vectors:
1 W 0.5130 0.0119 0.5918  1.04
2 O 0.2405 0.9868 0.3026  -0.03
3 O 0.9960 0.7436 0.5048  -0.07
4 W 0.5316 0.5316 0.7521  0.14
5 P 0.5885 0.0856 0.8686  0.00
6 O 0.4841 0.7400 0.3086  -0.03
7 O 0.9977 0.4945 0.0370  0.00
8 O 0.4982 0.2519 0.5014  -0.05
9 O 0.0243 0.0243 0.5786  -0.05
10 O 0.7239 0.9588 0.1653  0.00
11 W 0.9906 0.9906 0.4060  1.73
12 O 0.5209 0.5209 0.5743  -0.02
13 O 0.0040 0.0040 0.9620  0.00
14 O 0.7582 0.5116 0.6935  -0.03
15 O 0.4605 0.2268 0.1656  0.00
16 O 0.2268 0.4605 0.1656  0.00
17 O 0.0216 0.5211 0.7846  0.01
18 W 0.4700 0.9681 0.2510  0.20
19 P 0.9119 0.9119 0.1307  0.01
20 O 0.9809 0.4764 0.4232  -0.03
21 O 0.7436 0.9960 0.5048  -0.07
22 K 0.1918 0.1918 0.9884  0.00
23 O 0.5116 0.7582 0.6935  -0.03
24 O 0.0169 0.2640 0.6947  -0.03
25 W 0.4886 0.4886 0.4105  0.89
26 W 0.0119 0.5130 0.5918  1.04
27 O 0.5211 0.0216 0.7846  0.01
28 O 0.4945 0.9977 0.0370  0.00
29 O 0.7764 0.0435 0.8326  0.00
30 O 0.0435 0.7764 0.8326  0.00
31 O 0.4764 0.9809 0.4232  -0.03
32 O 0.2519 0.4982 0.5014  -0.05
33 O 0.9784 0.9784 0.2126  0.01
34 W 0.9681 0.4700 0.2510  0.20
35 O 0.2640 0.0169 0.6947  -0.03
36 O 0.7400 0.4841 0.3086  -0.03
37 O 0.4777 0.4777 0.2217  0.00
38 O 0.9868 0.2405 0.3026  -0.03
39 O 0.9588 0.7239 0.1653  0.00
40 P 0.0856 0.5885 0.8686  0.00
41 O 0.5348 0.2745 0.8348  0.00
42 O 0.5060 0.5060 0.9631  0.01
43 O 0.2745 0.5348 0.8348  0.00
44 W 0.0328 0.0328 0.7478  0.19
45 P 0.4152 0.4152 0.1319  0.00